No. 1
Computed, not measured: crystalline Sm3P2IrRh9 at its relaxed geometry at the PBE-GGA level of DFT.

The energy relative to the elements comes out at -0.485 eV/atom. As for the space group: P-3m1 (164). The crystal system is trigonal. The magnetic moment is 0.000 μB/atom.

Cell lengths 5.8999, 5.8999, 9.3684 Å; angles 90.00, 90.00, 120.00 degrees
Element x y z (fractional)
Sm 0.3333 0.6667 0.6103
Sm 0.0000 0.0000 0.0000
Sm 0.6667 0.3333 0.3897
Rh 0.1524 0.3048 0.2819
Rh 0.3048 0.1524 0.7181
Rh 0.8476 0.1524 0.7181
Rh 0.8476 0.6952 0.7181
Rh 0.5000 0.5000 0.0000
Rh 0.0000 0.5000 0.0000
Rh 0.6952 0.8476 0.2819
Rh 0.1524 0.8476 0.2819
Rh 0.5000 0.0000 0.0000
P 0.3333 0.6667 0.1580
P 0.6667 0.3333 0.8420
Ir 0.0000 0.0000 0.5000

No. 2
Computed, not measured: crystalline SrP2IrRh at its relaxed geometry at the PBE-GGA level of DFT.

The energy relative to the elements comes out at -0.887 eV/atom. As for the space group: I-4m2 (119). The crystal system is tetragonal. The magnetic moment is 0.000 μB/atom.

Cell lengths 3.9591, 3.9591, 6.6079 Å; angles 107.43, 107.43, 90.00 degrees
Element x y z (fractional)
Ir 0.2500 0.7500 0.5000
Rh 0.7500 0.2500 0.5000
P 0.3595 0.3595 0.7190
P 0.6405 0.6405 0.2810
Sr 0.0000 0.0000 0.0000

No. 3
Computed, not measured: crystalline Tb2P3IrRh4 at its relaxed geometry at the PBE-GGA level of DFT.

The energy relative to the elements comes out at -0.874 eV/atom. As for the space group: P-4m2 (115). The crystal system is tetragonal. The magnetic moment is 0.000 μB/atom.

Cell lengths 4.0203, 4.0203, 10.2716 Å; angles 90.00, 90.00, 90.00 degrees
Element x y z (fractional)
Tb 0.5000 0.0000 0.2549
Tb 0.0000 0.5000 0.7451
Rh 0.5000 0.5000 0.0000
Rh 0.0000 0.0000 0.0000
Rh 0.5000 0.0000 0.6529
Rh 0.0000 0.5000 0.3471
P 0.5000 0.0000 0.8701
P 0.0000 0.0000 0.5000
P 0.0000 0.5000 0.1299
Ir 0.5000 0.5000 0.5000

No. 4
Computed, not measured: crystalline TbP2IrRh2 at its relaxed geometry at the PBE-GGA level of DFT.

The energy relative to the elements comes out at -0.251 eV/atom. As for the space group: P4/mmm (123). The crystal system is tetragonal. The magnetic moment is 0.000 μB/atom.

Cell lengths 4.4778, 4.4778, 5.5034 Å; angles 90.00, 90.00, 90.00 degrees
Element x y z (fractional)
Tb 0.0000 0.0000 0.5000
P 0.5000 0.0000 0.0000
P 0.0000 0.5000 0.0000
Rh 0.5000 0.5000 0.7484
Rh 0.5000 0.5000 0.2516
Ir 0.0000 0.0000 0.0000

Number 1: electronic total energy -7.152 eV per atom. Number 2: electronic total energy -6.629 eV per atom. Number 3: electronic total energy -7.250 eV per atom. Number 4: electronic total energy -6.753 eV per atom.